Record 1
LiScHg2 | meta-GGA SCAN | PBEsol geometry

- energy of formation (eV/atom) = -0.471
- symmetry = No. 216
- calculated total energy (eV per cell) = -154.84
- density of states at the Fermi level (states/eV/f.u.) = 0.324

abc: 4.716 4.716 4.716
angles: 60.00 60.00 60.00
Element x y z (fractional)
Hg  0.000  0.000  0.000
Hg  0.750  0.750  0.750
Li  0.500  0.500  0.500
Sc  0.250  0.250  0.250


Record 2
Li2ScHg2 | meta-GGA SCAN | PBEsol geometry

- energy of formation (eV/atom) = -0.443
- symmetry = No. 127
- calculated total energy (eV per cell) = -315.13
- density of states at the Fermi level (states/eV/f.u.) = 2.305

abc: 3.156 7.507 7.507
angles: 90.00 90.00 90.00
Element x y z (fractional)
Sc  0.000  0.000  0.000
Sc  0.000  0.500  0.500
Hg  0.500  0.185  0.685
Hg  0.500  0.685  0.815
Hg  0.500  0.815  0.315
Hg  0.500  0.315  0.185
Li  0.000  0.384  0.884
Li  0.000  0.884  0.616
Li  0.000  0.616  0.116
Li  0.000  0.116  0.384


Record 3
LiScHg | meta-GGA SCAN | PBEsol geometry

- energy of formation (eV/atom) = 0.092
- symmetry = No. 216
- calculated total energy (eV per cell) = -84.52
- density of states at the Fermi level (states/eV/f.u.) = 3.157

abc: 4.616 4.616 4.616
angles: 60.00 60.00 60.00
Element x y z (fractional)
Hg  0.000  0.000  0.000
Li  0.500  0.500  0.500
Sc  0.750  0.750  0.750